Entry 1:
The following is a PBE calculation of a relaxed structure of TiNbH, from Alexandria via LeMat-Bulk.

ΔE to the lowest computed polymorph: 98.9 meV/atom

a = 11.2404 Å, b = 2.7588 Å, c = 4.8465 Å
α = 90.00°, β = 90.00°, γ = 90.00°
Space group Pnma (No. 62)
Asymmetric unit:
Ti 0.0566 0.2500 0.2407 (multiplicity 4)
Nb 0.1901 0.2500 0.7560 (multiplicity 4)
H 0.0922 0.7500 0.5324 (multiplicity 4)

---

Entry 2:
The following is a PBE calculation of a relaxed structure of Ti4NbH10, from Alexandria via LeMat-Bulk.

E_tot: -5.469 eV/atom

a = 7.0722 Å, b = 7.0722 Å, c = 4.3612 Å
α = 90.00°, β = 90.00°, γ = 90.00°
Space group I4/m (No. 87)
Asymmetric unit:
Ti 0.0989 0.3002 0.0000 (multiplicity 8)
Nb 0.0000 0.0000 0.5000 (multiplicity 2)
H 0.0000 0.5000 0.2500 (multiplicity 4)
H 0.1022 0.7966 0.2469 (multiplicity 16)

---

Entry 3:
The following is a PBE calculation of a relaxed structure of TiNbH4, from Alexandria via LeMat-Bulk.

ΔE to the lowest computed polymorph: 115.8 meV/atom

a = 7.1544 Å, b = 6.7335 Å, c = 5.1181 Å
α = 90.00°, β = 134.27°, γ = 90.00°
Space group C2/c (No. 15)
Asymmetric unit:
Ti 0.0000 0.1239 0.2500 (multiplicity 4)
Nb 0.0000 0.3734 0.7500 (multiplicity 4)
H 0.1352 0.1191 0.7431 (multiplicity 8)
H 0.1372 0.3692 0.5167 (multiplicity 8)

---

Entry 4:
The following is a PBE calculation of a relaxed structure of TiNbH3, from Alexandria via LeMat-Bulk.

ΔE to the lowest computed polymorph: 241.7 meV/atom

a = 3.5669 Å, b = 3.5669 Å, c = 3.5669 Å
α = 90.00°, β = 90.00°, γ = 90.00°
Space group Pm-3m (No. 221)
Asymmetric unit:
Ti 0.0000 0.0000 0.0000 (multiplicity 1)
Nb 0.5000 0.5000 0.5000 (multiplicity 1)
H 0.0000 0.5000 0.5000 (multiplicity 3)

---

Here are the calculated magnetic moment numbers, same order: 0.00; 0.00; 0.00; 0.02 (μB per cell).